{"formula": "Zr4ScN", "functional": "PBE-GGA", "state": "optimized geometry", "lattice": [[6.022, 0.184, -1.465], [-0.611, 5.295, -1.846], [0.067, -0.296, 7.744]], "species": ["Zr", "Zr", "Sc", "Zr", "N", "Zr", "Zr", "N", "Zr", "Zr", "Zr", "Sc"], "frac_coords": [[0.336, 0.868, 0.592], [0.164, 0.275, 0.408], [0.250, 0.917, 0.000], [0.950, 0.680, 0.207], [0.500, 0.500, 0.500], [0.050, 0.320, 0.793], [0.550, 0.473, 0.793], [0.000, 0.000, 0.500], [0.836, 0.725, 0.592], [0.664, 0.132, 0.408], [0.450, 0.527, 0.207], [0.750, 0.083, 0.000]], "n_ef_per_ev_cell": 13.58, "total_magnetization_mub_per_fu": 0.00, "formation_energy_uncorrected_ev_per_atom": -0.59}